# LaNi2GeBr

Crystalline LaNi2GeBr at its relaxed geometry (PBE, the Alexandria database).

Values from the calculation:
- Space-group type: P4/mmm

Lattice parameters (Å, degrees): 4.3959 4.3959 5.8592 90.00 90.00 90.00
Fractional positions:
La (0.0000, 0.0000, 0.0000)
Ni (0.0000, 0.5000, 0.5000)
Ni (0.5000, 0.0000, 0.5000)
Ge (0.0000, 0.0000, 0.5000)
Br (0.5000, 0.5000, 0.0000)

***

# La8Ge3Br4O

Crystalline La8Ge3Br4O at its relaxed geometry (PBE, the Alexandria database).

Values from the calculation:
- Space-group type: R-3m

Lattice parameters (Å, degrees): 8.9637 8.9637 8.9637 56.36 56.36 56.36
Fractional positions:
La (0.2403, 0.2403, 0.2403)
La (0.2654, 0.7182, 0.7182)
La (0.2818, 0.2818, 0.7346)
La (0.2818, 0.7346, 0.2818)
La (0.7182, 0.2654, 0.7182)
La (0.7182, 0.7182, 0.2654)
La (0.7346, 0.2818, 0.2818)
La (0.7597, 0.7597, 0.7597)
Ge (0.0000, 0.0000, 0.5000)
Ge (0.0000, 0.5000, 0.0000)
Ge (0.5000, 0.0000, 0.0000)
Br (0.0000, 0.0000, 0.0000)
Br (0.0000, 0.5000, 0.5000)
Br (0.5000, 0.0000, 0.5000)
Br (0.5000, 0.5000, 0.0000)
O (0.5000, 0.5000, 0.5000)

***

# La6GeOs2Br3

Crystalline La6GeOs2Br3 at its relaxed geometry (PBE, the Alexandria database).

Values from the calculation:
- Space-group type: C2/m

Lattice parameters (Å, degrees): 7.4288 7.4288 8.1655 98.85 98.85 120.00
Fractional positions:
La (0.0808, 0.4354, 0.8001)
La (0.2126, 0.2126, 0.1997)
La (0.4354, 0.0808, 0.8001)
La (0.5646, 0.9192, 0.1999)
La (0.7874, 0.7874, 0.8003)
La (0.9192, 0.5646, 0.1999)
Ge (0.5000, 0.5000, 0.0000)
Os (0.1670, 0.8330, 0.0000)
Os (0.8330, 0.1670, 0.0000)
Br (0.0000, 0.0000, 0.5000)
Br (0.3369, 0.6631, 0.5000)
Br (0.6631, 0.3369, 0.5000)

***

# La8Ge3PBr4

Crystalline La8Ge3PBr4 at its relaxed geometry (PBE, the Alexandria database).

Values from the calculation:
- Space-group type: R-3m

Lattice parameters (Å, degrees): 8.9157 8.9157 8.9157 58.79 58.79 58.79
Fractional positions:
La (0.2400, 0.2400, 0.2400)
La (0.2451, 0.7351, 0.7351)
La (0.2649, 0.2649, 0.7549)
La (0.2649, 0.7549, 0.2649)
La (0.7351, 0.2451, 0.7351)
La (0.7351, 0.7351, 0.2451)
La (0.7549, 0.2649, 0.2649)
La (0.7600, 0.7600, 0.7600)
Ge (0.0000, 0.0000, 0.5000)
Ge (0.0000, 0.5000, 0.0000)
Ge (0.5000, 0.0000, 0.0000)
P (0.5000, 0.5000, 0.5000)
Br (0.0000, 0.0000, 0.0000)
Br (0.0000, 0.5000, 0.5000)
Br (0.5000, 0.0000, 0.5000)
Br (0.5000, 0.5000, 0.0000)

***

# La6Ge2PBr3

Crystalline La6Ge2PBr3 at its relaxed geometry (PBE, the Alexandria database).

Values from the calculation:
- Space-group type: C2/m

Lattice parameters (Å, degrees): 7.5429 7.5429 7.7926 99.28 99.28 120.02
Fractional positions:
La (0.0716, 0.3983, 0.2151)
La (0.2548, 0.2548, 0.7846)
La (0.3983, 0.0716, 0.2151)
La (0.6017, 0.9284, 0.7849)
La (0.7452, 0.7452, 0.2154)
La (0.9284, 0.6017, 0.7849)
Ge (0.3336, 0.6664, 0.0000)
Ge (0.6664, 0.3336, 0.0000)
P (0.0000, 0.0000, 0.0000)
Br (0.1693, 0.8307, 0.5000)
Br (0.5000, 0.5000, 0.5000)
Br (0.8307, 0.1693, 0.5000)

***

# La6Ge2P3Br

Crystalline La6Ge2P3Br at its relaxed geometry (PBE, the Alexandria database).

Values from the calculation:
- Space-group type: C2/m

Lattice parameters (Å, degrees): 9.7125 9.7125 8.8045 103.35 103.35 25.46
Fractional positions:
La (0.0013, 0.0013, 0.2291)
La (0.3275, 0.3275, 0.4202)
La (0.3341, 0.3341, 0.9112)
La (0.6659, 0.6659, 0.0888)
La (0.6725, 0.6725, 0.5798)
La (0.9987, 0.9987, 0.7709)
Ge (0.1637, 0.1637, 0.8275)
Ge (0.8363, 0.8363, 0.1725)
P (0.1634, 0.1634, 0.3345)
P (0.5000, 0.5000, 0.0000)
P (0.8366, 0.8366, 0.6655)
Br (0.5000, 0.5000, 0.5000)

***

# LaGe2PbBr

Crystalline LaGe2PbBr at its relaxed geometry (PBE, the Alexandria database).

Values from the calculation:
- Space-group type: P4/mmm

Lattice parameters (Å, degrees): 5.7499 5.7499 5.6339 90.00 90.00 90.00
Fractional positions:
La (0.0000, 0.0000, 0.0000)
Ge (0.0000, 0.5000, 0.0000)
Ge (0.5000, 0.0000, 0.0000)
Pb (0.5000, 0.5000, 0.5000)
Br (0.0000, 0.0000, 0.5000)

***

# La6Ge2PbBr3

Crystalline La6Ge2PbBr3 at its relaxed geometry (PBE, the Alexandria database).

Values from the calculation:
- Space-group type: C2/m

Lattice parameters (Å, degrees): 9.9598 9.9598 8.9013 101.11 101.11 26.16
Fractional positions:
La (0.0099, 0.0099, 0.2566)
La (0.3268, 0.3268, 0.4296)
La (0.3314, 0.3314, 0.8895)
La (0.6686, 0.6686, 0.1105)
La (0.6732, 0.6732, 0.5704)
La (0.9901, 0.9901, 0.7434)
Ge (0.1680, 0.1680, 0.3373)
Ge (0.8320, 0.8320, 0.6627)
Pb (0.5000, 0.5000, 0.0000)
Br (0.1640, 0.1640, 0.8344)
Br (0.5000, 0.5000, 0.5000)
Br (0.8360, 0.8360, 0.1656)

***

Listing DOS(E_F) for the structures above in their given order: 5.67; 10.01; 9.60; 9.74; 6.97; 3.27; 4.23; 6.46 states/eV/f.u..
Listing E_form (uncorrected) for the structures above in their given order: -3.7; -32.3; -22.3; -30.5; -31.2; -30.8; 4.7; -26.5 kcal/mol of atoms.